[1]
This record from the Alexandria database describes a geometry-optimized LaPrHgAu structure. The functional is PBE.

```
4
Lattice="-1.6784 -4.6750 2.1474 2.8325 -4.5341 -0.8385 2.7640 -2.2552 4.0692" Properties=species:S:1:pos:R:3 pbc="T T T"
Pr 2.9386 -8.5982 4.0335
Au 0.0000 0.0000 0.0000
Hg 1.9591 -5.7321 2.6890
La 0.9795 -2.8661 1.3445
```

As for the formation energy: -0.608 eV/atom. The relative energy among the computed polymorphs comes out at 0.016 eV/atom.

---

[2]
This record from the Alexandria database describes a geometry-optimized La2HgPtAu structure. The functional is PBE.

```
10
Lattice="4.6561 0.0000 0.0000 0.0000 7.8198 0.3877 0.0000 -2.9265 7.1012" Properties=species:S:1:pos:R:3 pbc="T T T"
La 3.4921 4.7496 4.9415
La 3.4921 5.4318 0.5098
La 1.1640 0.1437 2.5473
La 1.1640 -0.5385 6.9790
Hg 1.1640 4.5295 2.6877
Hg 3.4921 0.3638 4.8011
Pt 1.1640 4.3287 6.8949
Pt 3.4921 0.5646 0.5939
Au 1.1640 2.1926 5.0856
Au 3.4921 2.7007 2.4032
```

As for the formation energy: -0.791 eV/atom.

---

[3]
This record from the Alexandria database describes a geometry-optimized LaPuHgAu structure. The functional is PBE.

```
4
Lattice="5.3447 0.0000 0.0000 2.6724 4.6287 0.0000 2.6724 1.5429 4.3639" Properties=species:S:1:pos:R:3 pbc="T T T"
La 2.6724 1.5429 1.0910
Au 0.0000 0.0000 0.0000
Hg 5.3447 3.0858 2.1820
Pu 8.0171 4.6287 3.2730
```

As for the formation energy: -0.409 eV/atom. The relative energy among the computed polymorphs comes out at 0.036 eV/atom.

---

[4]
This record from the Alexandria database describes a geometry-optimized LaPuHgAu structure. The functional is PBE.

```
4
Lattice="-1.9816 2.9550 -1.1679 -0.7746 -1.7841 -3.2000 -6.2991 -2.9675 3.1792" Properties=species:S:1:pos:R:3 pbc="T T T"
La -5.4993 -2.5907 2.7756
Pu -2.1581 -1.0167 1.0892
Hg -5.1399 -1.1867 -0.2853
Au -2.1033 0.2438 -1.8179
```

As for the formation energy: -0.444 eV/atom. The relative energy among the computed polymorphs comes out at 0.000 eV/atom.

---

[5]
This record from the Alexandria database describes a geometry-optimized La2HgRhAu structure. The functional is PBE.

```
10
Lattice="4.2331 0.0000 0.0000 0.0000 8.1071 -0.4482 0.0000 -3.8123 7.9870" Properties=species:S:1:pos:R:3 pbc="T T T"
La 3.1748 3.7735 4.9393
La 3.1748 5.8141 0.1618
La 1.0583 0.5213 2.5995
La 1.0583 -1.5193 7.3770
Hg 1.0583 5.2307 2.6549
Hg 3.1748 -0.9360 4.8839
Rh 1.0583 3.5536 6.9036
Rh 3.1748 0.7411 0.6352
Au 1.0583 1.1701 5.6472
Au 3.1748 3.1246 1.8916
```

As for the formation energy: -0.650 eV/atom.

---

[6]
This record from the Alexandria database describes a geometry-optimized LaHgRh2Au structure. The functional is PBE.

```
5
Lattice="-4.2781 2.6235 0.0735 -2.1031 -3.5273 3.4942 1.7482 2.7437 3.8218" Properties=species:S:1:pos:R:3 pbc="T T T"
Rh 0.8741 1.3718 1.9109
Rh -2.1390 1.3118 0.0368
Au 0.0000 0.0000 0.0000
Hg -2.3165 0.9200 3.6948
La -1.0515 -1.7636 1.7471
```

As for the formation energy: 0.574 eV/atom.

---

[7]
This record from the Alexandria database describes a geometry-optimized La4HgRhAu2 structure. The functional is PBE.

```
8
Lattice="-5.2995 0.8574 0.2653 -3.1494 -3.4435 2.6672 -1.7248 3.6736 8.1221" Properties=species:S:1:pos:R:3 pbc="T T T"
La -4.7116 2.1032 7.9837
La -8.0108 -0.7656 5.8001
La -2.1629 1.8531 5.2544
La -5.4621 -1.0156 3.0708
Hg 0.0000 0.0000 0.0000
Rh -5.0869 0.5438 5.5273
Au -7.5949 0.9629 8.5228
Au -2.5789 0.1246 2.5317
```

As for the formation energy: -0.696 eV/atom.

---

[8]
This record from the Alexandria database describes a geometry-optimized La4HgRuAu2 structure. The functional is PBE.

```
8
Lattice="5.3805 0.0000 0.0000 2.6902 4.6596 0.0000 2.6902 1.5532 8.4823" Properties=species:S:1:pos:R:3 pbc="T T T"
La 5.3805 3.1064 7.1215
La 8.0707 4.6596 3.4372
La 2.6902 1.5532 5.0451
La 5.3805 3.1064 1.3608
Hg 0.0000 0.0000 0.0000
Ru 5.3805 3.1064 4.2412
Au 8.0707 4.6596 6.6506
Au 2.6902 1.5532 1.8317
```

As for the formation energy: -0.572 eV/atom.

---

[9]
This record from the Alexandria database describes a geometry-optimized La5Hg2Ru2Au structure. The functional is PBE.

```
20
Lattice="-3.2627 -1.4939 1.3171 5.2564 -2.1326 10.6024 -3.4088 10.8608 3.8746" Properties=species:S:1:pos:R:3 pbc="T T T"
La -0.8140 -0.3479 3.1359
La -0.6010 7.5822 12.6582
La -3.9344 7.7177 4.5543
La 0.6354 2.3417 9.7770
La 2.5194 -0.4834 11.2397
La -2.0504 4.8927 6.0171
La -1.0027 5.6845 9.5105
La -0.4123 1.5498 6.2835
La 0.9969 -1.8132 5.9597
La -3.3357 4.6835 2.5958
Hg 2.9570 0.4867 7.8770
Hg -1.1093 8.2415 6.5999
Hg -0.1626 3.1185 3.1343
Hg 2.0103 5.6097 11.3426
Ru -1.4575 6.5969 3.8720
Ru 3.3051 2.1313 10.6049
Ru 0.3775 8.0580 10.0749
Ru 1.4702 0.6702 4.4021
Au 0.0000 0.0000 0.0000
Au 0.9238 4.3641 7.2385
```

As for the formation energy: -0.429 eV/atom.

---

[10]
This record from the Alexandria database describes a geometry-optimized LaHgSbAu structure. The functional is PBE.

```
4
Lattice="-2.6470 -2.3117 -3.9011 -4.2883 -2.8389 1.0585 -4.7397 1.7901 -1.3783" Properties=species:S:1:pos:R:3 pbc="T T T"
Sb 0.0000 0.0000 0.0000
Au -2.9188 -0.8401 -1.0552
Hg -8.7563 -2.5204 -3.1657
La -5.8375 -1.6803 -2.1105
```

The energy relative to the elements, uncorrected is -570.6 meV per atom.

---

[11]
This record from the Alexandria database describes a geometry-optimized La2Sn4HgAu3 structure. The functional is PBE.

```
10
Lattice="-0.1826 0.0616 -4.7394 3.0411 -3.6365 -0.1644 -8.7165 -7.3004 0.2410" Properties=species:S:1:pos:R:3 pbc="T T T"
La -2.3563 -1.8662 -2.3071
La -4.9310 -7.2217 0.0961
Sn 1.4293 -1.7874 -2.4519
Sn 0.0000 0.0000 0.0000
Sn -5.6304 -4.6084 -2.2166
Sn -1.6569 -4.4795 0.0056
Hg -2.9290 -5.4376 -2.3314
Au -4.3582 -3.6502 0.1205
Au -7.6546 -6.3038 -2.1606
Au 0.3674 -2.7841 -0.0503
```

As for the formation energy: -0.541 eV/atom.

---

[12]
This record from the Alexandria database describes a geometry-optimized Sr2LaHgAu structure. The functional is PBE.

```
5
Lattice="-4.5321 -3.8917 -1.0131 3.3887 -3.0383 -3.4881 1.8305 -3.3556 4.7012" Properties=species:S:1:pos:R:3 pbc="T T T"
Sr 0.9152 -1.6778 2.3506
Sr -2.2660 -1.9458 -0.5066
Au 0.0000 0.0000 0.0000
Hg 0.3435 -5.1428 0.1000
La 1.6944 -1.5191 -1.7440
```

As for the formation energy: -0.240 eV/atom.

---

[13]
This record from the Alexandria database describes a geometry-optimized LaHgTeAu structure. The functional is PBE.

```
4
Lattice="-0.8122 -5.3419 0.0256 2.9400 -3.1952 -3.2161 3.7213 -3.2883 2.1296" Properties=species:S:1:pos:R:3 pbc="T T T"
Te 0.0000 0.0000 0.0000
Au 2.9245 -5.9127 -0.5305
Hg 4.3868 -8.8690 -0.7957
La 1.4623 -2.9563 -0.2652
```

The energy relative to the elements, uncorrected is -716.2 meV per atom.

---

[14]
This record from the Alexandria database describes a geometry-optimized La4Tl2HgAu structure. The functional is PBE.

```
8
Lattice="5.5438 0.0000 0.0000 2.7719 4.8011 0.0000 2.7719 1.6004 9.0558" Properties=species:S:1:pos:R:3 pbc="T T T"
La 5.5438 3.2007 7.7960
La 8.3157 4.8011 3.5198
La 2.7719 1.6004 5.5361
La 5.5438 3.2007 1.2598
Tl 8.3157 4.8011 6.9012
Tl 2.7719 1.6004 2.1546
Hg 0.0000 0.0000 0.0000
Au 5.5438 3.2007 4.5279
```

As for the formation energy: -0.515 eV/atom.

---

[15]
This record from the Alexandria database describes a geometry-optimized LaTlHgAu structure. The functional is PBE.

```
4
Lattice="-1.5448 4.8566 -1.2864 -0.7903 1.2574 -5.0420 -4.8804 0.8233 -1.7694" Properties=species:S:1:pos:R:3 pbc="T T T"
Tl -1.8039 1.7343 -2.0244
Au 0.0000 0.0000 0.0000
Hg -3.6077 3.4686 -4.0489
La -5.4116 5.2030 -6.0733
```

As for the formation energy: -0.511 eV/atom.

---

[16]
This record from the Alexandria database describes a geometry-optimized LaTmHgAu structure. The functional is PBE.

```
4
Lattice="-1.7121 4.9016 0.9989 -2.2857 1.1082 4.6371 2.5230 3.0118 3.5382" Properties=species:S:1:pos:R:3 pbc="T T T"
Tm -1.1062 6.7663 6.8807
Au 0.0000 0.0000 0.0000
Hg -0.7374 4.5108 4.5871
La -0.3687 2.2554 2.2936
```

As for the formation energy: -0.620 eV/atom. The relative energy among the computed polymorphs comes out at 0.042 eV/atom.

---

[17]
This record from the Alexandria database describes a geometry-optimized LaTmHgAu structure. The functional is PBE.

```
4
Lattice="-1.6111 -2.2974 -2.3549 -0.2518 -2.5283 2.6389 -6.8987 2.7810 2.0064" Properties=species:S:1:pos:R:3 pbc="T T T"
La -1.7258 -2.0927 0.3730
Tm -5.0005 -0.7725 1.3254
Hg -5.7313 2.3104 1.6668
Au -2.7056 1.0907 0.7869
```

As for the formation energy: -0.661 eV/atom. The relative energy among the computed polymorphs comes out at 0.000 eV/atom.

---

[18]
This record from the Alexandria database describes a geometry-optimized LaHgWAu2 structure. The functional is PBE.

```
5
Lattice="-0.0832 -2.5912 -4.3546 -1.0901 -4.3965 2.6370 -4.9564 0.9475 -0.4692" Properties=species:S:1:pos:R:3 pbc="T T T"
Au -2.4782 0.4738 -0.2346
Au -0.0416 -1.2956 -2.1773
Hg -0.5451 -2.1983 1.3185
W 0.0000 0.0000 0.0000
La -3.0649 -3.0201 -1.0934
```

As for the formation energy: 0.395 eV/atom.

---

[19]
This record from the Alexandria database describes a geometry-optimized LaHgW2Au structure. The functional is PBE.

```
5
Lattice="-1.5598 -2.6231 3.9455 0.1173 -4.7851 -3.1349 4.7368 -0.7737 1.3583" Properties=species:S:1:pos:R:3 pbc="T T T"
Au 1.6471 -4.0910 1.0845
Hg 0.0000 0.0000 0.0000
W 2.3684 -0.3869 0.6791
W -0.7799 -1.3115 1.9728
La 0.0587 -2.3926 -1.5674
```

As for the formation energy: 2.112 eV/atom.

---

[20]
This record from the Alexandria database describes a geometry-optimized LaYHgAu structure. The functional is PBE.

```
4
Lattice="-1.3128 3.4538 -0.4112 -0.7696 -0.7171 -3.5658 -6.9868 -2.4183 1.9943" Properties=species:S:1:pos:R:3 pbc="T T T"
La -1.8491 1.0887 -1.7579
Y -5.1815 -0.0647 -0.8067
Hg -5.8416 -2.0219 1.6674
Au -2.6805 -0.9278 0.7651
```

As for the formation energy: -0.656 eV/atom.

---

[21]
This record from the Alexandria database describes a geometry-optimized LaZn2HgAu5 structure. The functional is PBE.

```
9
Lattice="-0.6463 -4.0281 2.8290 0.8230 -2.9016 -3.9434 7.6277 -0.0698 1.6432" Properties=species:S:1:pos:R:3 pbc="T T T"
La 3.8138 -0.0349 0.8216
Zn 1.2733 -3.4757 -0.3019
Zn 6.5310 -3.5238 0.8307
Hg 0.0000 0.0000 0.0000
Au 2.3409 -1.4685 -1.5561
Au 1.6063 -2.0317 1.8302
Au 6.1097 -1.5029 -0.7442
Au 5.3751 -2.0662 2.6421
Au 3.9022 -3.4998 0.2644
```

As for the formation energy: -0.277 eV/atom.

---

[22]
This record from the Alexandria database describes a geometry-optimized Li6Hg2Au3 structure. The functional is PBE.

```
11
Lattice="4.9849 0.0000 0.0000 0.0000 4.9849 0.0000 -2.4925 -2.4925 9.4352" Properties=species:S:1:pos:R:3 pbc="T T T"
Li 0.0000 2.4925 1.8037
Li 2.4925 0.0000 1.8037
Li 2.4925 0.0000 7.6315
Li 0.0000 2.4925 7.6315
Li 2.4925 2.4925 4.0768
Li 0.0000 0.0000 5.3584
Hg 0.0000 0.0000 8.0606
Hg 2.4925 2.4925 1.3746
Au 0.0000 0.0000 0.0000
Au 2.4925 2.4925 6.6229
Au 0.0000 0.0000 2.8123
```

As for the formation energy: -0.192 eV/atom.

---

[23]
This record from the Alexandria database describes a geometry-optimized Li6Hg8Au structure. The functional is PBE.

```
15
Lattice="4.1841 0.0000 0.0000 0.0000 9.3781 0.0000 0.0000 -4.6890 8.1216" Properties=species:S:1:pos:R:3 pbc="T T T"
Li 3.1071 1.8683 5.0418
Li 3.1071 -0.6115 7.2187
Li 3.1071 -1.2568 3.9828
Li 1.0770 2.8208 3.0798
Li 1.0770 5.3005 0.9030
Li 1.0770 5.9458 4.1389
Hg 3.2448 2.0863 7.8853
Hg 3.2448 -3.1830 5.9858
Hg 3.2448 1.0967 2.3722
Hg 0.9393 2.6027 0.2364
Hg 0.9393 7.8720 2.1359
Hg 0.9393 3.5924 5.7494
Hg 3.1717 4.6890 2.7072
Hg 1.0124 0.0000 5.4144
Au 2.0921 0.0000 0.0000
```

As for the formation energy: -0.217 eV/atom.

---

[24]
This record from the Alexandria database describes a geometry-optimized Li12Hg6Au structure. The functional is PBE.

```
19
Lattice="-6.4521 2.2447 -1.9214 0.0348 -4.8696 -5.1619 -2.7888 -4.6350 4.5933" Properties=species:S:1:pos:R:3 pbc="T T T"
Li -6.3648 -2.8158 -2.2826
Li -4.2706 -5.3875 -2.5272
Li -5.6521 -4.6411 0.4043
Li -2.8413 -4.4441 -0.2075
Li -4.9355 -1.8724 0.0371
Li -3.5540 -2.6188 -2.8944
Li -1.1728 -2.3382 0.8754
Li -8.2123 -5.6957 -0.4468
Li -6.4525 -7.2823 -2.3271
Li -8.0333 -4.9217 -3.3654
Li -0.9938 -1.5642 -2.0432
Li -2.7536 0.0224 -0.1629
Hg -5.3351 -3.9902 -4.5991
Hg -4.9616 -0.3685 -2.3173
Hg -1.5724 -4.5672 -2.6061
Hg -3.8709 -3.2697 2.1091
Hg -4.2444 -6.8915 -0.1728
Hg -7.6337 -2.6927 0.1161
Au 0.0000 0.0000 0.0000
```

As for the formation energy: -0.295 eV/atom.

---

[25]
This record from the Alexandria database describes a geometry-optimized Li5Hg8Au structure. The functional is PBE.

```
14
Lattice="7.2722 0.0333 -0.0573 -2.4293 6.8546 0.0573 -2.4137 -3.4494 5.9300" Properties=species:S:1:pos:R:3 pbc="T T T"
Li -1.1123 2.0369 0.6861
Li 3.7105 5.2987 1.4314
Li 2.3809 2.2177 3.8410
Li 2.4293 -1.7081 2.9364
Li -0.1206 -2.6763 5.9016
Hg -1.0279 4.9289 0.3008
Hg 5.0810 -1.8469 4.0785
Hg 4.0773 0.4905 2.1655
Hg 1.4795 -0.2983 5.2286
Hg 1.5113 3.3420 1.3801
Hg 0.1431 3.3203 5.2297
Hg 0.6624 0.4746 2.2510
Hg -2.2095 3.3427 3.0859
Au -1.2068 0.8485 4.4619
```

As for the formation energy: -0.224 eV/atom.

---

| no. | final energy (eV per atom) |
| --- | --- |
| 1 | -3.929 |
| 2 | -4.686 |
| 3 | -6.118 |
| 4 | -6.154 |
| 5 | -4.807 |
| 6 | -4.068 |
| 7 | -4.935 |
| 8 | -5.053 |
| 9 | -5.136 |
| 10 | -3.728 |
| 11 | -4.141 |
| 12 | -2.614 |
| 13 | -3.628 |
| 14 | -4.018 |
| 15 | -3.229 |
| 16 | -3.864 |
| 17 | -3.906 |
| 18 | -4.552 |
| 19 | -4.771 |
| 20 | -4.399 |
| 21 | -2.962 |
| 22 | -2.185 |
| 23 | -1.362 |
| 24 | -1.771 |
| 25 | -1.314 |